1.
The following is a GGA-PBE calculation of ZnPCl2 after structural relaxation, from Alexandria via LeMat-Bulk.

Properties
- Energy above the lowest structure with this stoichiometry: 530 meV per atom
- DOS at the Fermi energy: 0.45 states/eV/cell
- Total magnetization: 0.00 μB/f.u.
- SG: P4mm, No. 99
- Calculated density: 3.32 g/cm3
- Raw total energy: -2.527 eV per atom

```
data_ZnPCl2
_chemical_formula_sum 'Zn1 P1 Cl2'
_space_group_name_H-M_alt 'P 1'
_space_group_IT_number 1
_space_group_name_Hall 'P 1'
_cell_length_a 3.157
_cell_length_b 3.157
_cell_length_c 8.396
_cell_angle_alpha 90.00
_cell_angle_beta 90.00
_cell_angle_gamma 90.00
loop_
_atom_site_label
_atom_site_fract_x
_atom_site_fract_y
_atom_site_fract_z
_atom_site_occupancy
Zn1 0.000 0.000 0.000 1
P1 0.500 0.500 0.807 1
Cl1 0.000 0.000 0.613 1
Cl2 0.500 0.500 0.174 1
```

---

2.
The following is a GGA-PBE calculation of ZnP2Cl after structural relaxation, from Alexandria via LeMat-Bulk.

Properties
- Energy above the lowest structure with this stoichiometry: 0 meV per atom
- DOS at the Fermi energy: 0.79 states/eV/cell
- Total magnetization: 0.00 μB/f.u.
- SG: Cm, No. 8
- Calculated density: 2.73 g/cm3
- Raw total energy: -3.705 eV per atom

```
data_ZnP2Cl
_chemical_formula_sum 'Zn1 P2 Cl1'
_space_group_name_H-M_alt 'P 1'
_space_group_IT_number 1
_space_group_name_Hall 'P 1'
_cell_length_a 4.049
_cell_length_b 4.049
_cell_length_c 8.236
_cell_angle_alpha 101.72
_cell_angle_beta 101.72
_cell_angle_gamma 48.70
loop_
_atom_site_label
_atom_site_fract_x
_atom_site_fract_y
_atom_site_fract_z
_atom_site_occupancy
Zn1 0.000 0.000 0.000 1
P1 0.509 0.509 0.616 1
P2 0.875 0.875 0.717 1
Cl1 0.692 0.692 0.151 1
```

---

3.
The following is a GGA-PBE calculation of ZnP2Cl after structural relaxation, from Alexandria via LeMat-Bulk.

Properties
- Energy above the lowest structure with this stoichiometry: 601 meV per atom
- DOS at the Fermi energy: 1.90 states/eV/cell
- Total magnetization: 0.00 μB/f.u.
- SG: Cmmm, No. 65
- Calculated density: 3.35 g/cm3
- Raw total energy: -3.104 eV per atom

```
data_ZnP2Cl
_chemical_formula_sum 'Zn1 P2 Cl1'
_space_group_name_H-M_alt 'P 1'
_space_group_IT_number 1
_space_group_name_Hall 'P 1'
_cell_length_a 6.965
_cell_length_b 6.965
_cell_length_c 2.669
_cell_angle_alpha 90.00
_cell_angle_beta 90.00
_cell_angle_gamma 141.51
loop_
_atom_site_label
_atom_site_fract_x
_atom_site_fract_y
_atom_site_fract_z
_atom_site_occupancy
Zn1 0.000 0.000 0.000 1
P1 0.000 0.500 0.500 1
P2 0.500 0.000 0.500 1
Cl1 0.500 0.500 0.000 1
```

---

4.
The following is a GGA-PBE calculation of ZnPCl2 after structural relaxation, from Alexandria via LeMat-Bulk.

Properties
- Energy above the lowest structure with this stoichiometry: 943 meV per atom
- DOS at the Fermi energy: 2.58 states/eV/cell
- Total magnetization: 0.00 μB/f.u.
- SG: P4/mmm, No. 123
- Calculated density: 3.67 g/cm3
- Raw total energy: -2.114 eV per atom

```
data_ZnPCl2
_chemical_formula_sum 'Zn1 P1 Cl2'
_space_group_name_H-M_alt 'P 1'
_space_group_IT_number 1
_space_group_name_Hall 'P 1'
_cell_length_a 4.481
_cell_length_b 4.481
_cell_length_c 3.774
_cell_angle_alpha 90.00
_cell_angle_beta 90.00
_cell_angle_gamma 90.00
loop_
_atom_site_label
_atom_site_fract_x
_atom_site_fract_y
_atom_site_fract_z
_atom_site_occupancy
Zn1 0.000 0.000 0.000 1
P1 0.500 0.500 0.000 1
Cl1 0.000 0.500 0.500 1
Cl2 0.500 0.000 0.500 1
```

---

5.
The following is a GGA-PBE calculation of ZnPCl2 after structural relaxation, from Alexandria via LeMat-Bulk.

Properties
- Energy above the lowest structure with this stoichiometry: 373 meV per atom
- DOS at the Fermi energy: 2.66 states/eV/cell
- Total magnetization: 0.00 μB/f.u.
- SG: Cmm2, No. 35
- Calculated density: 2.84 g/cm3
- Raw total energy: -2.684 eV per atom

```
data_ZnPCl2
_chemical_formula_sum 'Zn1 P1 Cl2'
_space_group_name_H-M_alt 'P 1'
_space_group_IT_number 1
_space_group_name_Hall 'P 1'
_cell_length_a 3.672
_cell_length_b 3.672
_cell_length_c 8.844
_cell_angle_alpha 90.00
_cell_angle_beta 90.00
_cell_angle_gamma 124.92
loop_
_atom_site_label
_atom_site_fract_x
_atom_site_fract_y
_atom_site_fract_z
_atom_site_occupancy
Zn1 0.000 0.000 0.000 1
P1 0.500 0.500 0.798 1
Cl1 0.000 0.000 0.602 1
Cl2 0.500 0.500 0.179 1
```

---

6.
The following is a GGA-PBE calculation of ZnP2Cl after structural relaxation, from Alexandria via LeMat-Bulk.

Properties
- Energy above the lowest structure with this stoichiometry: 220 meV per atom
- DOS at the Fermi energy: 2.95 states/eV/cell
- Total magnetization: 0.00 μB/f.u.
- SG: Imm2, No. 44
- Calculated density: 2.30 g/cm3
- Raw total energy: -3.485 eV per atom

```
data_ZnP2Cl
_chemical_formula_sum 'Zn1 P2 Cl1'
_space_group_name_H-M_alt 'P 1'
_space_group_IT_number 1
_space_group_name_Hall 'P 1'
_cell_length_a 6.234
_cell_length_b 6.234
_cell_length_c 6.234
_cell_angle_alpha 149.71
_cell_angle_beta 97.84
_cell_angle_gamma 90.00
loop_
_atom_site_label
_atom_site_fract_x
_atom_site_fract_y
_atom_site_fract_z
_atom_site_occupancy
Zn1 0.000 0.000 0.000 1
P1 0.608 0.608 0.000 1
P2 0.766 0.266 0.500 1
Cl1 0.188 0.688 0.500 1
```

---

7.
The following is a GGA-PBE calculation of ZnPCl2 after structural relaxation, from Alexandria via LeMat-Bulk.

Properties
- Energy above the lowest structure with this stoichiometry: 535 meV per atom
- DOS at the Fermi energy: 0.65 states/eV/cell
- Total magnetization: 2.25 μB/f.u.
- SG: Immm, No. 71
- Calculated density: 2.35 g/cm3
- Raw total energy: -2.522 eV per atom

```
data_ZnPCl2
_chemical_formula_sum 'Zn1 P1 Cl2'
_space_group_name_H-M_alt 'P 1'
_space_group_IT_number 1
_space_group_name_Hall 'P 1'
_cell_length_a 6.588
_cell_length_b 6.588
_cell_length_c 6.588
_cell_angle_alpha 151.36
_cell_angle_beta 119.07
_cell_angle_gamma 68.68
loop_
_atom_site_label
_atom_site_fract_x
_atom_site_fract_y
_atom_site_fract_z
_atom_site_occupancy
Zn1 0.000 0.000 0.000 1
P1 0.500 0.500 0.000 1
Cl1 0.153 0.653 0.500 1
Cl2 0.847 0.347 0.500 1
```

---

8.
The following is a GGA-PBE calculation of ZnP2Cl4 after structural relaxation, from Alexandria via LeMat-Bulk.

Properties
- DOS at the Fermi energy: 0.00 states/eV/cell
- Total magnetization: 0.00 μB/f.u.
- SG: C2, No. 5
- Calculated density: 1.91 g/cm3
- Raw total energy: -3.346 eV per atom

```
data_ZnP2Cl4
_chemical_formula_sum 'Zn2 P4 Cl8'
_space_group_name_H-M_alt 'P 1'
_space_group_IT_number 1
_space_group_name_Hall 'P 1'
_cell_length_a 8.777
_cell_length_b 8.777
_cell_length_c 7.917
_cell_angle_alpha 96.72
_cell_angle_beta 96.72
_cell_angle_gamma 50.70
loop_
_atom_site_label
_atom_site_fract_x
_atom_site_fract_y
_atom_site_fract_z
_atom_site_occupancy
Zn1 0.198 0.198 0.392 1
Zn2 0.802 0.802 0.608 1
P1 0.355 0.287 0.809 1
P2 0.449 0.036 0.618 1
P3 0.713 0.645 0.191 1
P4 0.964 0.551 0.382 1
Cl1 0.100 0.641 0.281 1
Cl2 0.177 0.007 0.214 1
Cl3 0.359 0.900 0.719 1
Cl4 0.502 0.349 0.682 1
Cl5 0.540 0.145 0.020 1
Cl6 0.651 0.498 0.318 1
Cl7 0.855 0.460 0.980 1
Cl8 0.993 0.823 0.786 1
```

---

9.
The following is a GGA-PBE calculation of ZnPCl2 after structural relaxation, from Alexandria via LeMat-Bulk.

Properties
- Energy above the lowest structure with this stoichiometry: 399 meV per atom
- DOS at the Fermi energy: 1.76 states/eV/cell
- Total magnetization: 0.00 μB/f.u.
- SG: R3m, No. 160
- Calculated density: 3.10 g/cm3
- Raw total energy: -2.658 eV per atom

```
data_ZnPCl2
_chemical_formula_sum 'Zn1 P1 Cl2'
_space_group_name_H-M_alt 'P 1'
_space_group_IT_number 1
_space_group_name_Hall 'P 1'
_cell_length_a 8.764
_cell_length_b 8.764
_cell_length_c 8.764
_cell_angle_alpha 22.90
_cell_angle_beta 22.90
_cell_angle_gamma 22.90
loop_
_atom_site_label
_atom_site_fract_x
_atom_site_fract_y
_atom_site_fract_z
_atom_site_occupancy
Zn1 0.000 0.000 0.000 1
P1 0.728 0.728 0.728 1
Cl1 0.275 0.275 0.275 1
Cl2 0.462 0.462 0.462 1
```

---

10.
The following is a GGA-PBE calculation of ZnPCl2 after structural relaxation, from Alexandria via LeMat-Bulk.

Properties
- Energy above the lowest structure with this stoichiometry: 773 meV per atom
- DOS at the Fermi energy: 1.36 states/eV/cell
- Total magnetization: 0.00 μB/f.u.
- SG: R-3m, No. 166
- Calculated density: 3.48 g/cm3
- Raw total energy: -2.284 eV per atom

```
data_ZnPCl2
_chemical_formula_sum 'Zn1 P1 Cl2'
_space_group_name_H-M_alt 'P 1'
_space_group_IT_number 1
_space_group_name_Hall 'P 1'
_cell_length_a 9.075
_cell_length_b 9.075
_cell_length_c 9.075
_cell_angle_alpha 20.45
_cell_angle_beta 20.45
_cell_angle_gamma 20.45
loop_
_atom_site_label
_atom_site_fract_x
_atom_site_fract_y
_atom_site_fract_z
_atom_site_occupancy
Zn1 0.000 0.000 0.000 1
P1 0.500 0.500 0.500 1
Cl1 0.089 0.089 0.089 1
Cl2 0.911 0.911 0.911 1
```